Record 1
Computed, not measured: a geometry-optimized CaMg6Cd2 structure at the PBE level of DFT.

Geometry as POSCAR:
```
CaMg6Cd2
1.0
4.451 0.000 0.000
0.000 4.451 0.000
0.000 0.000 11.211
Ca Mg Cd
1 6 2
Cartesian
0.000 0.000 0.000 Ca
0.000 0.000 5.606 Mg
0.000 2.225 3.304 Mg
0.000 2.225 7.908 Mg
2.225 0.000 3.304 Mg
2.225 0.000 7.908 Mg
2.225 2.225 5.606 Mg
2.225 2.225 1.402 Cd
2.225 2.225 9.810 Cd
```

Output
Formation energy from the elements in eV/atom: -0.11

Record 2
Computed, not measured: a geometry-optimized Ca5MgCd4 structure at the PBE level of DFT.

Geometry as POSCAR:
```
Ca5MgCd4
1.0
3.822 0.000 0.000
0.000 3.822 0.000
0.000 0.000 19.686
Ca Mg Cd
5 1 4
Cartesian
0.000 0.000 0.000 Ca
0.000 0.000 3.873 Ca
0.000 0.000 7.725 Ca
0.000 0.000 11.960 Ca
0.000 0.000 15.813 Ca
1.911 1.911 9.843 Mg
1.911 1.911 1.936 Cd
1.911 1.911 5.834 Cd
1.911 1.911 13.851 Cd
1.911 1.911 17.750 Cd
```

Output
Formation energy from the elements in eV/atom: -0.30

Record 3
Computed, not measured: a geometry-optimized Ca2Mg6Cd structure at the PBE level of DFT.

Geometry as POSCAR:
```
Ca2Mg6Cd
1.0
5.299 -3.279 0.000
5.299 3.279 0.000
-0.898 0.000 6.899
Ca Mg Cd
2 6 1
Cartesian
1.372 0.000 2.598 Ca
8.327 0.000 4.301 Ca
4.025 1.744 1.037 Mg
5.675 1.744 5.862 Mg
3.023 0.000 5.571 Mg
6.676 0.000 1.328 Mg
4.025 -1.744 1.037 Mg
5.675 -1.744 5.862 Mg
4.850 0.000 3.449 Cd
```

Output
Formation energy from the elements in eV/atom: -0.08

Record 4
Computed, not measured: a geometry-optimized Ca6MgCd structure at the PBE level of DFT.

Geometry as POSCAR:
```
Ca6MgCd
1.0
-2.747 2.747 9.517
2.747 -2.747 9.517
2.747 2.747 -9.517
Ca Mg Cd
6 1 1
Cartesian
2.747 0.000 1.947 Ca
0.000 0.000 4.732 Ca
2.747 0.000 7.570 Ca
0.000 2.747 1.947 Ca
0.000 0.000 14.302 Ca
0.000 2.747 7.570 Ca
0.000 0.000 0.000 Mg
0.000 0.000 9.517 Cd
```

Output
Formation energy from the elements in eV/atom: -0.10
Excess energy over the best structure of this formula in the dataset in meV per atom: 0

Record 5
Computed, not measured: a geometry-optimized CaMg9Cd2 structure at the PBE level of DFT.

Geometry as POSCAR:
```
CaMg9Cd2
1.0
-6.108 6.108 3.904
6.108 -6.108 3.904
6.108 6.108 -3.904
Ca Mg Cd
2 18 4
Cartesian
6.108 3.054 0.976 Ca
0.000 3.054 2.928 Ca
6.108 -3.054 2.928 Mg
4.607 -0.572 1.419 Mg
7.608 -0.572 1.419 Mg
2.482 1.553 0.533 Mg
9.733 1.553 0.533 Mg
4.607 5.536 -1.419 Mg
1.500 -0.572 2.485 Mg
2.482 4.554 0.533 Mg
3.626 -1.553 4.437 Mg
2.482 7.661 -0.533 Mg
3.626 1.553 3.371 Mg
4.607 6.680 1.419 Mg
1.500 0.572 5.322 Mg
-3.626 4.554 3.371 Mg
3.626 4.554 3.371 Mg
-1.500 6.680 2.485 Mg
1.500 6.680 2.485 Mg
0.000 9.161 0.976 Mg
0.000 0.000 0.000 Cd
3.054 3.054 -1.952 Cd
3.054 -3.054 1.952 Cd
0.000 6.108 0.000 Cd
```

Output
Formation energy from the elements in eV/atom: -0.08
Excess energy over the best structure of this formula in the dataset in meV per atom: 0

Record 6
Computed, not measured: a geometry-optimized Ca3Mg4Cd structure at the PBE level of DFT.

Geometry as POSCAR:
```
Ca3Mg4Cd
1.0
3.819 0.000 0.000
0.000 3.819 0.000
0.000 0.000 15.677
Ca Mg Cd
3 4 1
Cartesian
0.000 0.000 0.000 Ca
0.000 0.000 4.187 Ca
0.000 0.000 11.489 Ca
1.909 1.909 2.112 Mg
1.909 1.909 6.281 Mg
1.909 1.909 9.396 Mg
1.909 1.909 13.565 Mg
0.000 0.000 7.838 Cd
```

Output
Formation energy from the elements in eV/atom: -0.08

Record 7
Computed, not measured: a geometry-optimized Ca6MgCd2 structure at the PBE level of DFT.

Geometry as POSCAR:
```
Ca6MgCd2
1.0
10.444 0.000 0.000
0.000 10.444 0.000
0.000 0.000 5.445
Ca Mg Cd
12 2 4
Cartesian
0.279 3.270 0.000 Ca
1.308 9.136 2.722 Ca
1.952 5.501 2.722 Ca
3.270 0.279 0.000 Ca
3.914 3.914 0.000 Ca
4.943 8.491 2.722 Ca
5.501 1.952 2.722 Ca
6.529 6.529 0.000 Ca
7.174 10.165 0.000 Ca
8.491 4.943 2.722 Ca
9.136 1.308 2.722 Ca
10.165 7.174 0.000 Ca
0.000 0.000 0.000 Mg
5.222 5.222 2.722 Mg
2.093 2.093 2.722 Cd
3.129 7.314 0.000 Cd
7.314 3.129 0.000 Cd
8.351 8.351 2.722 Cd
```

Output
Formation energy from the elements in eV/atom: -0.15
Excess energy over the best structure of this formula in the dataset in meV per atom: 13

Record 8
Computed, not measured: a geometry-optimized Ca2MgCd structure at the PBE level of DFT.

Geometry as POSCAR:
```
Ca2MgCd
1.0
-1.871 2.808 5.715
1.871 -2.808 5.715
1.871 2.808 -5.715
Ca Mg Cd
2 1 1
Cartesian
0.000 0.000 0.000 Ca
0.000 2.808 2.374 Ca
1.871 0.000 3.048 Mg
0.000 0.000 5.351 Cd
```

Output
Formation energy from the elements in eV/atom: -0.18
Excess energy over the best structure of this formula in the dataset in meV per atom: 38

Record 9
Computed, not measured: a geometry-optimized Ca3Mg4Cd4 structure at the PBE level of DFT.

Geometry as POSCAR:
```
Ca3Mg4Cd4
1.0
3.601 0.000 0.000
0.008 4.999 0.000
1.735 2.489 15.954
Ca Mg Cd
3 4 4
Cartesian
0.000 0.000 0.000 Ca
1.763 4.989 11.420 Ca
3.581 2.499 4.534 Ca
1.769 2.494 7.597 Mg
1.787 5.000 2.978 Mg
3.558 2.487 12.976 Mg
3.575 4.994 8.357 Mg
1.781 4.997 5.890 Cd
1.803 2.502 1.500 Cd
3.541 4.985 14.454 Cd
3.564 2.491 10.064 Cd
```

Output
Formation energy from the elements in eV/atom: -0.22
Excess energy over the best structure of this formula in the dataset in meV per atom: 0

Record 10
Computed, not measured: a geometry-optimized CaMg2Cd structure at the PBE level of DFT.

Geometry as POSCAR:
```
CaMg2Cd
1.0
4.676 0.000 0.000
0.000 4.676 0.000
0.000 0.000 4.764
Ca Mg Cd
1 2 1
Cartesian
0.000 0.000 0.000 Ca
0.000 2.338 2.382 Mg
2.338 0.000 2.382 Mg
2.338 2.338 0.000 Cd
```

Output
Formation energy from the elements in eV/atom: -0.14

Record 11
Computed, not measured: a geometry-optimized CaMg14Cd structure at the PBE level of DFT.

Geometry as POSCAR:
```
CaMg14Cd
1.0
10.462 0.000 0.000
0.000 3.205 5.664
0.000 -3.205 5.664
Ca Mg Cd
1 14 1
Cartesian
0.000 0.000 0.000 Ca
0.000 -1.564 2.832 Mg
0.000 1.564 2.832 Mg
2.510 0.000 7.459 Mg
2.675 -1.591 4.633 Mg
2.675 1.591 4.633 Mg
2.709 0.000 1.846 Mg
5.231 0.000 5.650 Mg
5.231 -1.575 8.452 Mg
5.231 1.575 8.452 Mg
5.231 0.000 11.294 Mg
7.753 0.000 1.846 Mg
7.787 -1.591 4.633 Mg
7.787 1.591 4.633 Mg
7.952 0.000 7.459 Mg
0.000 0.000 5.560 Cd
```

Output
Formation energy from the elements in eV/atom: -0.02
Excess energy over the best structure of this formula in the dataset in meV per atom: 0

Record 12
Computed, not measured: a geometry-optimized Ca2MgCd structure at the PBE level of DFT.

Geometry as POSCAR:
```
Ca2MgCd
1.0
1.912 1.104 10.245
-1.912 1.104 10.245
0.000 -2.208 10.245
Ca Mg Cd
2 1 1
Cartesian
0.000 0.000 0.000 Ca
0.000 0.000 5.384 Ca
0.000 0.000 12.945 Mg
0.000 0.000 18.057 Cd
```

Output
Formation energy from the elements in eV/atom: -0.05
Excess energy over the best structure of this formula in the dataset in meV per atom: 166

Record 13
Computed, not measured: a geometry-optimized Ca11Mg9Cd4 structure at the PBE level of DFT.

Geometry as POSCAR:
```
Ca11Mg9Cd4
1.0
7.717 -11.955 0.000
7.717 11.955 0.000
0.000 0.000 3.918
Ca Mg Cd
11 9 4
Cartesian
0.000 0.000 0.000 Ca
3.724 4.127 0.000 Ca
7.717 8.137 0.000 Ca
4.395 0.000 0.000 Ca
7.717 3.393 0.000 Ca
3.724 -4.127 0.000 Ca
11.711 4.127 0.000 Ca
7.717 -3.393 0.000 Ca
11.040 0.000 0.000 Ca
7.717 -8.137 0.000 Ca
11.711 -4.127 0.000 Ca
2.175 1.767 1.959 Mg
6.083 5.763 1.959 Mg
2.175 -1.767 1.959 Mg
9.352 5.763 1.959 Mg
7.717 0.000 1.959 Mg
6.083 -5.763 1.959 Mg
13.260 1.767 1.959 Mg
9.352 -5.763 1.959 Mg
13.260 -1.767 1.959 Mg
5.466 2.272 1.959 Cd
5.466 -2.272 1.959 Cd
9.969 2.272 1.959 Cd
9.969 -2.272 1.959 Cd
```

Output
Formation energy from the elements in eV/atom: -0.14

Record 14
Computed, not measured: a geometry-optimized CaMg2Cd structure at the PBE level of DFT.

Geometry as POSCAR:
```
CaMg2Cd
1.0
1.774 1.024 10.109
-1.774 1.024 10.109
0.000 -2.048 10.109
Ca Mg Cd
1 2 1
Cartesian
0.000 0.000 0.000 Ca
0.000 0.000 7.292 Mg
0.000 0.000 23.036 Mg
0.000 0.000 15.164 Cd
```

Output
Formation energy from the elements in eV/atom: 0.02

Record 15
Computed, not measured: a geometry-optimized CaMg6Cd4 structure at the PBE level of DFT.

Geometry as POSCAR:
```
CaMg6Cd4
1.0
8.118 0.000 0.000
-4.059 7.031 0.000
0.000 0.000 4.666
Ca Mg Cd
1 6 4
Cartesian
0.000 0.000 0.000 Ca
0.000 2.867 2.333 Mg
-1.577 5.597 2.333 Mg
4.059 0.477 0.000 Mg
2.443 3.277 0.000 Mg
1.577 5.597 2.333 Mg
5.676 3.277 0.000 Mg
0.000 4.687 0.000 Cd
2.453 1.416 2.333 Cd
5.665 1.416 2.333 Cd
4.059 4.198 2.333 Cd
```

Output
Formation energy from the elements in eV/atom: -0.11

Record 16
Computed, not measured: a geometry-optimized Ca2MgCd structure at the PBE level of DFT.

Geometry as POSCAR:
```
Ca2MgCd
1.0
-1.769 2.963 6.628
1.769 -2.963 6.628
1.769 2.963 -6.628
Ca Mg Cd
2 1 1
Cartesian
0.000 0.000 3.069 Ca
0.000 0.000 10.187 Ca
0.000 0.000 6.628 Mg
0.000 0.000 0.000 Cd
```

Output
Formation energy from the elements in eV/atom: 0.30
Excess energy over the best structure of this formula in the dataset in meV per atom: 515

Record 17
Computed, not measured: a geometry-optimized Ca2MgCd structure at the PBE level of DFT.

Geometry as POSCAR:
```
Ca2MgCd
1.0
-2.400 2.400 5.252
2.400 -2.400 5.252
2.400 2.400 -5.252
Ca Mg Cd
2 1 1
Cartesian
0.000 0.000 0.000 Ca
0.000 2.400 2.626 Ca
0.000 0.000 5.252 Mg
2.400 0.000 2.626 Cd
```

Output
Formation energy from the elements in eV/atom: -0.10
Excess energy over the best structure of this formula in the dataset in meV per atom: 115

Record 18
Computed, not measured: a geometry-optimized CaMg2Cd10 structure at the PBE level of DFT.

Geometry as POSCAR:
```
CaMg2Cd10
1.0
0.000 7.046 7.090
3.019 0.000 7.090
3.019 7.046 0.000
Ca Mg Cd
1 2 10
Cartesian
0.000 0.000 0.000 Ca
1.509 0.000 3.545 Mg
1.509 7.046 3.545 Mg
1.509 3.523 0.000 Cd
3.019 4.614 2.494 Cd
3.019 5.543 5.552 Cd
3.019 9.478 2.494 Cd
3.019 8.549 5.552 Cd
1.509 3.523 7.090 Cd
3.019 5.543 8.628 Cd
3.019 4.614 11.686 Cd
3.019 8.549 8.628 Cd
3.019 9.478 11.686 Cd
```

Output
Formation energy from the elements in eV/atom: -0.12

Record 19
Computed, not measured: a geometry-optimized Ca2MgCd structure at the PBE level of DFT.

Geometry as POSCAR:
```
Ca2MgCd
1.0
3.819 0.000 0.000
0.000 3.819 0.000
0.000 0.000 8.411
Ca Mg Cd
2 1 1
Cartesian
0.000 0.000 0.000 Ca
1.909 1.909 2.863 Ca
1.909 1.909 6.308 Mg
0.000 0.000 4.809 Cd
```

Output
Formation energy from the elements in eV/atom: -0.15
Excess energy over the best structure of this formula in the dataset in meV per atom: 71

Record 20
Computed, not measured: a geometry-optimized CaMg2Cd structure at the PBE level of DFT.

Geometry as POSCAR:
```
CaMg2Cd
1.0
3.784 0.000 0.000
0.000 3.784 0.000
0.000 0.000 7.243
Ca Mg Cd
1 2 1
Cartesian
0.000 0.000 0.000 Ca
0.000 0.000 3.499 Mg
1.892 1.892 5.103 Mg
1.892 1.892 1.946 Cd
```

Output
Formation energy from the elements in eV/atom: -0.13

Record 21
Computed, not measured: a geometry-optimized Ca3MgCd3 structure at the PBE level of DFT.

Geometry as POSCAR:
```
Ca3MgCd3
1.0
6.130 -2.323 0.000
6.130 2.323 0.000
-5.128 0.000 14.561
Ca Mg Cd
6 2 6
Cartesian
-1.739 0.000 5.497 Ca
-3.355 0.000 13.431 Ca
1.793 0.000 3.297 Ca
5.339 0.000 11.264 Ca
10.487 0.000 1.129 Ca
8.871 0.000 9.063 Ca
0.200 0.000 8.649 Mg
6.932 0.000 5.912 Mg
2.311 0.000 6.562 Cd
0.014 0.000 13.465 Cd
1.879 0.000 11.171 Cd
5.252 0.000 3.390 Cd
7.117 0.000 1.096 Cd
4.821 0.000 7.998 Cd
```

Output
Formation energy from the elements in eV/atom: -0.26

Record 22
Computed, not measured: a geometry-optimized Ca6MgCd3 structure at the PBE level of DFT.

Geometry as POSCAR:
```
Ca6MgCd3
1.0
9.827 0.000 0.000
0.000 5.547 0.000
-2.895 0.000 11.453
Ca Mg Cd
12 2 6
Cartesian
-0.848 1.387 4.643 Ca
0.724 4.160 2.128 Ca
-0.501 1.387 11.269 Ca
0.882 4.160 9.107 Ca
2.581 1.387 3.409 Ca
2.375 1.387 6.912 Ca
4.557 4.160 4.542 Ca
4.351 4.160 8.044 Ca
6.050 1.387 2.346 Ca
7.432 4.160 0.184 Ca
6.207 1.387 9.325 Ca
7.780 4.160 6.810 Ca
4.100 4.160 1.136 Mg
2.831 1.387 10.317 Mg
-2.208 4.160 10.240 Cd
-0.651 1.387 7.992 Cd
1.247 4.160 5.487 Cd
5.684 1.387 5.966 Cd
7.582 4.160 3.462 Cd
9.139 1.387 1.213 Cd
```

Output
Formation energy from the elements in eV/atom: -0.21